Fe2Co7, optimized geometry, DFT PBE; M_tot = 15.91 μB/cell; mass density = 8.7 g/cm3; E_tot = -66.19 eV for the cell shown; DFT formation energy = 0.05 eV per atom
1.0
2.466 0.000 0.000
0.000 6.841 0.000
0.000 -3.421 5.925
Fe Co
2 7
direct
0.000 0.667 0.333 Fe
0.000 0.333 0.667 Fe
0.500 0.646 0.000 Co
0.500 0.000 0.646 Co
0.500 0.354 0.354 Co
0.000 0.305 0.000 Co
0.000 0.000 0.305 Co
0.000 0.695 0.695 Co
0.500 0.000 0.000 Co